Below is a crystal of KMg2ReRh relaxed with PBEsol, with properties calculated at the SCAN level.

The structure in POSCAR format:
```
KMg2ReRh
1.0
4.4457 0.0000 0.0000
0.0000 4.7037 0.0000
0.0000 0.0000 4.7037
Re Mg Rh K
1 2 1 1
Direct
0.5000 0.0000 0.0000
0.0000 0.5000 0.0000
0.0000 0.0000 0.5000
0.5000 0.5000 0.5000
0.0000 0.0000 0.0000
```

Computed properties:
As for the density: 6.36 g cm⁻³. As for the volume: 98.4 Å³ per cell. The total energy is -22.148 eV per atom.